Density functional theory data (GGA+U) for Na3Li2NiF9 after structural relaxation.

Properties
Its space-group type is P-3m1. The total magnetization is 0.00 μB/f.u. For the total energy, the calculation gives -4.147 eV per atom.

abc: 5.489 5.489 6.769
angles: 90.00 90.00 120.00
Sites, in units of the cell vectors:
1 Na 0.333 0.667 0.745
2 Na 0.000 0.000 0.000
3 Na 0.667 0.333 0.255
4 Li 0.333 0.667 0.147
5 Li 0.667 0.333 0.853
6 Ni 0.000 0.000 0.500
7 F 0.846 0.154 0.655
8 F 0.846 0.692 0.655
9 F 0.308 0.154 0.655
10 F 0.692 0.846 0.345
11 F 0.154 0.308 0.345
12 F 0.154 0.846 0.345
13 F 0.500 0.000 0.000
14 F 0.000 0.500 0.000
15 F 0.500 0.500 0.000